No. 1
## BaU4Ag3Te12 (PBE)

Data for a relaxed BaU4Ag3Te12 crystal.

space-group type	Im-3, No. 204
total energy	-102.96	eV per cell
energy relative to the elements, uncorrected	-0.4814	eV per atom

a b c (Å): 9.669 9.669 9.669
angles (deg): 109.47 109.47 109.47
Fractional positions:
Ba (0.000, 0.000, 0.000)
U (0.500, 0.000, 0.000)
U (0.500, 0.500, 0.500)
U (0.000, 0.500, 0.000)
U (0.000, 0.000, 0.500)
Ag (0.000, 0.500, 0.500)
Ag (0.500, 0.500, 0.000)
Ag (0.500, 0.000, 0.500)
Te (0.306, 0.828, 0.134)
Te (0.694, 0.172, 0.866)
Te (0.694, 0.828, 0.522)
Te (0.866, 0.694, 0.172)
Te (0.828, 0.134, 0.306)
Te (0.172, 0.478, 0.306)
Te (0.478, 0.306, 0.172)
Te (0.172, 0.866, 0.694)
Te (0.306, 0.172, 0.478)
Te (0.134, 0.306, 0.828)
Te (0.828, 0.522, 0.694)
Te (0.522, 0.694, 0.828)


No. 2
## Hf3Zn3C (PBE)

Data for a relaxed Hf3Zn3C crystal.

space-group type	Fd-3m, No. 227
total energy	-184.92	eV per cell
ΔH_f (0 K)	-475	meV/atom

a b c (Å): 8.571 8.571 8.571
angles (deg): 60.00 60.00 60.00
Fractional positions:
Hf (0.439, 0.439, 0.061)
Hf (0.061, 0.439, 0.061)
Hf (0.439, 0.061, 0.061)
Hf (0.061, 0.061, 0.439)
Hf (0.439, 0.061, 0.439)
Hf (0.061, 0.439, 0.439)
Hf (0.811, 0.811, 0.189)
Hf (0.189, 0.811, 0.189)
Hf (0.811, 0.189, 0.189)
Hf (0.189, 0.189, 0.811)
Hf (0.811, 0.189, 0.811)
Hf (0.189, 0.811, 0.811)
Zn (0.832, 0.832, 0.505)
Zn (0.832, 0.505, 0.832)
Zn (0.505, 0.832, 0.832)
Zn (0.832, 0.832, 0.832)
Zn (0.418, 0.418, 0.745)
Zn (0.418, 0.745, 0.418)
Zn (0.745, 0.418, 0.418)
Zn (0.418, 0.418, 0.418)
Zn (0.625, 0.625, 0.125)
Zn (0.625, 0.125, 0.625)
Zn (0.125, 0.625, 0.625)
Zn (0.625, 0.625, 0.625)
C (0.125, 0.125, 0.625)
C (0.125, 0.625, 0.125)
C (0.625, 0.125, 0.125)
C (0.125, 0.125, 0.125)


No. 3
## Ho2MnGa4Ni3 (PBE)

Data for a relaxed Ho2MnGa4Ni3 crystal.

space-group type	P-4m2, No. 115
total energy	-52.78	eV per cell
ΔH_f (0 K)	-500	meV/atom

a b c (Å): 3.942 3.942 10.660
angles (deg): 90.00 90.00 90.00
Fractional positions:
Ho (0.500, 0.000, 0.243)
Ho (0.000, 0.500, 0.757)
Mn (0.500, 0.500, 0.500)
Ga (0.500, 0.500, 0.000)
Ga (0.000, 0.000, 0.000)
Ga (0.500, 0.000, 0.641)
Ga (0.000, 0.500, 0.359)
Ni (0.000, 0.000, 0.500)
Ni (0.500, 0.000, 0.864)
Ni (0.000, 0.500, 0.136)


No. 4
## CoTcAs2 (PBE)

Data for a relaxed CoTcAs2 crystal.

space-group type	I-4m2, No. 119
ΔE to the lowest computed polymorph	0.326	eV/atom
total energy	-25.77	eV per cell
ΔH_f (0 K)	250	meV/atom

a b c (Å): 5.164 5.164 5.164
angles (deg): 139.21 139.21 59.05
Fractional positions:
As (0.000, 0.000, 0.000)
As (0.250, 0.750, 0.500)
Co (0.500, 0.500, 0.000)
Tc (0.750, 0.250, 0.500)


No. 5
## AcPrNd2 (PBE)

Data for a relaxed AcPrNd2 crystal.

space-group type	Fm-3m, No. 225
ΔE to the lowest computed polymorph	0.112	eV/atom
total energy	-17.90	eV per cell
ΔH_f (0 K)	132	meV/atom

a b c (Å): 5.986 5.986 5.986
angles (deg): 60.00 60.00 60.00
Fractional positions:
Pr (0.500, 0.500, 0.500)
Ac (0.000, 0.000, 0.000)
Nd (0.250, 0.250, 0.250)
Nd (0.750, 0.750, 0.750)


No. 6
## PIrAuC (PBE)

Data for a relaxed PIrAuC crystal.

space-group type	Cm, No. 8
ΔE to the lowest computed polymorph	0.053	eV/atom
total energy	-50.13	eV per cell
ΔH_f (0 K)	427	meV/atom

a b c (Å): 6.090 3.395 8.147
angles (deg): 90.00 125.95 90.00
Fractional positions:
P (0.837, 0.000, 0.244)
P (0.837, 0.500, 0.744)
C (0.622, 0.000, 0.967)
C (0.622, 0.500, 0.467)
Ir (0.538, 0.000, 0.325)
Ir (0.538, 0.500, 0.825)
Au (0.175, 0.000, 0.843)
Au (0.175, 0.500, 0.343)